# 1
Compound: LiSc
Source: Alexandria
Functional: PBE
Structure: relaxed

## Properties
Distance to the lowest polymorph of the same formula in meV/atom: 963
M_tot in μB per formula unit: 0.0
Formation energy in eV/atom: 1.05
Calculated density in g/cm³: 0.8
Final energy in eV for the cell shown: -49.087

a = 9.4108 Å, b = 9.4108 Å, c = 9.4108 Å
α = 90.00°, β = 90.00°, γ = 90.00°
Closest atoms and distances in Å follow each position.
Space group I-43m (No. 217)
Unique sites:
Li  0.1969  0.1969  0.1969 [8 per cell]  4 Sc 3.11-3.16
Sc  0.1091  0.1091  0.8909 [8 per cell]  3 Sc 2.90, 4 Li 3.11-3.16

# 2
Compound: Na2Tl4Zn
Source: Alexandria
Functional: PBE
Structure: relaxed

## Properties
Distance to the lowest polymorph of the same formula in meV/atom: 0
M_tot in μB per formula unit: 0.0
Formation energy in eV/atom: -0.01
Calculated density in g/cm³: 7.9
Final energy in eV for the cell shown: -26.869

a = 4.9744 Å, b = 4.9744 Å, c = 15.7639 Å
α = 90.00°, β = 90.00°, γ = 90.00°
Closest atoms and distances in Å follow each position.
Space group I4/mmm (No. 139)
Unique sites:
Na  0.0000  0.0000  0.2470 [4 per cell]  8 Tl 3.35-3.41, 4 Na 3.52
Tl  0.0000  0.5000  0.1048 [8 per cell]  2 Zn 2.99, 1 Tl 3.30
Zn  0.0000  0.0000  0.0000 [2 per cell]  8 Tl 2.99

# 3
Compound: NaCdPb4
Source: Alexandria
Functional: PBE
Structure: relaxed

## Properties
Distance to the lowest polymorph of the same formula in meV/atom: 131
M_tot in μB per formula unit: 0.0
Formation energy in eV/atom: 0.09
Calculated density in g/cm³: 8.1
Final energy in eV for the cell shown: -66.009

a = 9.2527 Å, b = 9.2527 Å, c = 9.2527 Å
α = 90.00°, β = 90.00°, γ = 90.00°
Closest atoms and distances in Å follow each position.
Space group F-43m (No. 216)
Unique sites:
Na  0.0000  0.0000  0.0000 [4 per cell]  12 Pb 3.84, 4 Cd 4.01
Cd  0.2500  0.2500  0.7500 [4 per cell]  12 Pb 3.84, 4 Na 4.01
Pb  0.1250  0.1250  0.3750 [16 per cell]  6 Pb 3.27

# 4
Compound: Zn2NiCl
Source: Alexandria
Functional: PBE
Structure: relaxed

## Properties
Distance to the lowest polymorph of the same formula in meV/atom: 167
M_tot in μB per formula unit: 0.0
Formation energy from raw total energies in meV per atom: -36
Calculated density in g/cm³: 4.8
Final energy in eV for the cell shown: -10.320

a = 3.3324 Å, b = 3.3324 Å, c = 6.9989 Å
α = 90.00°, β = 90.00°, γ = 90.00°
Closest atoms and distances in Å follow each position.
Space group P4mm (No. 99)
Unique sites:
Zn  0.0000  0.0000  0.0000 [1 per cell]  4 Ni 2.39
Zn  0.5000  0.5000  0.2792 [1 per cell]  1 Ni 2.33
Ni  0.5000  0.5000  0.9460 [1 per cell]  5 Zn 2.33-2.39
Cl  0.0000  0.0000  0.4617 [1 per cell]  4 Zn 2.68

# 5
Compound: LaScOs2
Source: Alexandria
Functional: PBE
Structure: relaxed

## Properties
Distance to the lowest polymorph of the same formula in meV/atom: 226
M_tot in μB per formula unit: 0.0
Formation energy in eV/atom: 0.27
Calculated density in g/cm³: 12.5
Final energy in eV for the cell shown: -65.257

a = 6.0485 Å, b = 9.0089 Å, c = 3.0076 Å
α = 90.00°, β = 113.50°, γ = 90.00°
Closest atoms and distances in Å follow each position.
Space group C2/m (No. 12)
Unique sites:
La  0.0000  0.0000  0.0000 [2 per cell]  4 Os 2.79, 2 La 3.01, 2 Sc 3.02
Sc  0.0000  0.5000  0.0000 [2 per cell]  4 Os 2.79, 2 Sc 3.01, 2 La 3.02
Os  0.2500  0.2500  0.5000 [4 per cell]  2 La 2.79, 2 Sc 2.79, 4 Os 3.01-3.02

# 6
Compound: Pr14DyZr
Source: Alexandria
Functional: PBE
Structure: relaxed

## Properties
M_tot in μB per formula unit: 0.0
Formation energy in eV/atom: 0.05
Calculated density in g/cm³: 6.6
Final energy in eV for the cell shown: -79.275

a = 7.3297 Å, b = 7.3297 Å, c = 10.3907 Å
α = 90.00°, β = 90.00°, γ = 90.00°
Closest atoms and distances in Å follow each position.
Space group P4/mmm (No. 123)
Unique sites:
Pr  0.0000  0.0000  0.0000 [1 per cell]  12 Pr 3.66-3.69
Pr  0.0000  0.5000  0.0000 [2 per cell]  12 Pr 3.66-3.73
Pr  0.0000  0.5000  0.5000 [2 per cell]  8 Pr 3.61, 2 Zr 3.66, 2 Dy 3.66
Pr  0.2449  0.2449  0.2581 [8 per cell]  1 Zr 3.57, 10 Pr 3.59-3.77, 1 Dy 3.65
Pr  0.5000  0.5000  0.0000 [1 per cell]  12 Pr 3.66-3.77
Dy  0.5000  0.5000  0.5000 [1 per cell]  12 Pr 3.65-3.66
Zr  0.0000  0.0000  0.5000 [1 per cell]  12 Pr 3.57-3.66

# 7
Compound: K5RhO4
Source: Alexandria
Functional: PBE
Structure: relaxed

## Properties
Distance to the lowest polymorph of the same formula in meV/atom: 184
M_tot in μB per formula unit: 0.7
Formation energy from raw total energies in meV per atom: -859
Calculated density in g/cm³: 2.6
Final energy in eV for the cell shown: -82.519

a = 18.9077 Å, b = 3.4832 Å, c = 7.0268 Å
α = 90.00°, β = 93.85°, γ = 90.00°
Closest atoms and distances in Å follow each position.
Space group C2/m (No. 12)
Unique sites:
K  0.0000  0.0000  0.0000 [2 per cell]  4 O 2.78
K  0.1375  0.5000  0.7588 [4 per cell]  3 O 2.45-2.62
K  0.1383  0.5000  0.2958 [4 per cell]  3 O 2.45-2.61
Rh  0.0000  0.0000  0.5000 [2 per cell]  6 O 2.04-2.20
O  0.0005  0.5000  0.3078 [4 per cell]  2 Rh 2.20
O  0.1082  0.0000  0.5211 [4 per cell]  1 Rh 2.04

# 8
Compound: ReNi2Pt
Source: Alexandria
Functional: PBE
Structure: relaxed

## Properties
Distance to the lowest polymorph of the same formula in meV/atom: 33
M_tot in μB per formula unit: 0.0
Formation energy in eV/atom: -0.05
Calculated density in g/cm³: 15.6
Final energy in eV for the cell shown: -60.497

a = 8.5406 Å, b = 2.6689 Å, c = 4.7261 Å
α = 90.00°, β = 99.54°, γ = 90.00°
Closest atoms and distances in Å follow each position.
Space group C2/m (No. 12)
Unique sites:
Re  0.0000  0.0000  0.0000 [2 per cell]  6 Ni 2.56-2.59, 2 Re 2.67, 4 Pt 2.71
Ni  0.2483  0.5000  0.2290 [4 per cell]  4 Ni 2.55-2.67, 3 Re 2.56-2.59, 3 Pt 2.65-2.67
Pt  0.0000  0.5000  0.5000 [2 per cell]  6 Ni 2.65-2.67, 2 Pt 2.67, 4 Re 2.71

# 9
Compound: KHf3Tc
Source: Alexandria
Functional: PBE
Structure: relaxed

## Properties
Distance to the lowest polymorph of the same formula in meV/atom: 1748
M_tot in μB per formula unit: 0.0
Formation energy in eV/atom: 2.39
Calculated density in g/cm³: 10.6
Final energy in eV for the cell shown: -29.380

a = 4.7196 Å, b = 4.7196 Å, c = 4.7196 Å
α = 90.00°, β = 90.00°, γ = 90.00°
Closest atoms and distances in Å follow each position.
Space group Pm-3m (No. 221)
Unique sites:
K  0.0000  0.0000  0.0000 [1 per cell]  6 Hf 2.36
Hf  0.0000  0.0000  0.5000 [3 per cell]  2 K 2.36
Tc  0.5000  0.5000  0.5000 [1 per cell]  12 Hf 3.34

# 10
Compound: LiPmTmNi
Source: Alexandria
Functional: PBE
Structure: relaxed

## Properties
M_tot in μB per formula unit: 0.0
Formation energy in eV/atom: -0.12
Calculated density in g/cm³: 7.3
Final energy in eV for the cell shown: -69.529

a = 7.0068 Å, b = 7.0068 Å, c = 7.0068 Å
α = 90.00°, β = 90.00°, γ = 90.00°
Closest atoms and distances in Å follow each position.
Space group F-43m (No. 216)
Unique sites:
Li  0.0000  0.0000  0.0000 [4 per cell]  4 Tm 3.03, 4 Pm 3.03
Pm  0.2500  0.2500  0.7500 [4 per cell]  4 Li 3.03, 4 Ni 3.03
Tm  0.2500  0.2500  0.2500 [4 per cell]  4 Ni 3.03, 4 Li 3.03
Ni  0.0000  0.0000  0.5000 [4 per cell]  4 Pm 3.03, 4 Tm 3.03

# 11
Compound: YSn2Pt
Source: Alexandria
Functional: PBE
Structure: relaxed

## Properties
M_tot in μB per formula unit: 0.0
Formation energy in eV/atom: -0.39
Calculated density in g/cm³: 9.6
Final energy in eV for the cell shown: -88.287

a = 7.1107 Å, b = 7.1107 Å, c = 7.1107 Å
α = 90.00°, β = 90.00°, γ = 90.00°
Closest atoms and distances in Å follow each position.
Space group Fm-3m (No. 225)
Unique sites:
Y  0.0000  0.0000  0.0000 [4 per cell]  8 Sn 3.08
Sn  0.2500  0.2500  0.2500 [8 per cell]  4 Pt 3.08, 4 Y 3.08
Pt  0.0000  0.0000  0.5000 [4 per cell]  8 Sn 3.08

# 12
Compound: ZrCl3O
Source: Alexandria
Functional: PBE
Structure: relaxed

## Properties
M_tot in μB per formula unit: 1.4
Formation energy from raw total energies in meV per atom: -719
Calculated density in g/cm³: 2.8
Final energy in eV for the cell shown: -22.641

a = 4.9991 Å, b = 4.9991 Å, c = 4.9991 Å
α = 90.00°, β = 90.00°, γ = 90.00°
Closest atoms and distances in Å follow each position.
Space group Pm-3m (No. 221)
Unique sites:
Zr  0.0000  0.0000  0.0000 [1 per cell]  6 Cl 2.50
Cl  0.0000  0.0000  0.5000 [3 per cell]  2 Zr 2.50
O  0.5000  0.5000  0.5000 [1 per cell]  12 Cl 3.53

# 13
Compound: YClO
Source: Alexandria
Functional: PBE
Structure: relaxed

## Properties
M_tot in μB per formula unit: 0.0
Formation energy from raw total energies in meV per atom: -2373
Calculated density in g/cm³: 4.2
Final energy in eV for the cell shown: -81.555

a = 6.0329 Å, b = 6.0329 Å, c = 6.0329 Å
α = 90.00°, β = 90.00°, γ = 90.00°
Closest atoms and distances in Å follow each position.
Space group F-43m (No. 216)
Unique sites:
Y  0.0000  0.0000  0.0000 [4 per cell]  4 O 2.61, 4 Cl 2.61
Cl  0.2500  0.2500  0.2500 [4 per cell]  4 Y 2.61
O  0.2500  0.2500  0.7500 [4 per cell]  4 Y 2.61

# 14
Compound: PrGdYTm
Source: Alexandria
Functional: PBE
Structure: relaxed

## Properties
M_tot in μB per formula unit: 7.6
Formation energy in eV/atom: 0.10
Calculated density in g/cm³: 7.0
Final energy in eV for the cell shown: -117.623

a = 8.0868 Å, b = 8.0868 Å, c = 8.0868 Å
α = 90.00°, β = 90.00°, γ = 90.00°
Closest atoms and distances in Å follow each position.
Space group F-43m (No. 216)
Unique sites:
Pr  0.0000  0.0000  0.0000 [4 per cell]  4 Tm 3.50, 4 Y 3.50
Gd  0.0000  0.0000  0.5000 [4 per cell]  4 Tm 3.50, 4 Y 3.50
Y  0.2500  0.2500  0.7500 [4 per cell]  4 Gd 3.50, 4 Pr 3.50
Tm  0.2500  0.2500  0.2500 [4 per cell]  4 Gd 3.50, 4 Pr 3.50

# 15
Compound: TcAu
Source: Alexandria
Functional: PBE
Structure: relaxed

## Properties
Distance to the lowest polymorph of the same formula in meV/atom: 345
M_tot in μB per formula unit: 0.0
Formation energy in eV/atom: 0.43
Calculated density in g/cm³: 15.3
Final energy in eV for the cell shown: -12.792

a = 2.7302 Å, b = 2.7302 Å, c = 4.3068 Å
α = 90.00°, β = 90.00°, γ = 90.00°
Closest atoms and distances in Å follow each position.
Space group P4/mmm (No. 123)
Unique sites:
Tc  0.0000  0.0000  0.0000 [1 per cell]  4 Tc 2.73, 8 Au 2.89
Au  0.5000  0.5000  0.5000 [1 per cell]  4 Au 2.73, 8 Tc 2.89

# 16
Compound: CaCeCd4
Source: Alexandria
Functional: PBE
Structure: relaxed

## Properties
Distance to the lowest polymorph of the same formula in meV/atom: 39
M_tot in μB per formula unit: 0.9
Formation energy in eV/atom: -0.23
Calculated density in g/cm³: 6.9
Final energy in eV for the cell shown: -51.874

a = 8.4824 Å, b = 8.4824 Å, c = 8.4824 Å
α = 90.00°, β = 90.00°, γ = 90.00°
Closest atoms and distances in Å follow each position.
Space group F-43m (No. 216)
Unique sites:
Ca  0.0000  0.0000  0.0000 [4 per cell]  12 Cd 3.52, 4 Ce 3.67
Ce  0.2500  0.2500  0.2500 [4 per cell]  12 Cd 3.52, 4 Ca 3.67
Cd  0.1246  0.1246  0.6246 [16 per cell]  6 Cd 2.99-3.01

# 17
Compound: LiLa3F
Source: Alexandria
Functional: PBE
Structure: relaxed

## Properties
Distance to the lowest polymorph of the same formula in meV/atom: 0
M_tot in μB per formula unit: 0.0
Formation energy from raw total energies in meV per atom: -872
Calculated density in g/cm³: 5.3
Final energy in eV for the cell shown: -22.925

a = 5.1876 Å, b = 5.1876 Å, c = 5.1876 Å
α = 90.00°, β = 90.00°, γ = 90.00°
Closest atoms and distances in Å follow each position.
Space group Pm-3m (No. 221)
Unique sites:
Li  0.0000  0.0000  0.0000 [1 per cell]  12 La 3.67
La  0.0000  0.5000  0.5000 [3 per cell]  2 F 2.59
F  0.5000  0.5000  0.5000 [1 per cell]  6 La 2.59

# 18
Compound: ZrTaMoIr2
Source: Alexandria
Functional: PBE
Structure: relaxed

## Properties
M_tot in μB per formula unit: 1.8
Formation energy in eV/atom: 1.92
Calculated density in g/cm³: 11.3
Final energy in eV for the cell shown: -39.339

a = 4.7449 Å, b = 4.7449 Å, c = 4.8907 Å
α = 90.00°, β = 90.00°, γ = 90.00°
Closest atoms and distances in Å follow each position.
Space group P4/mmm (No. 123)
Unique sites:
Zr  0.0000  0.0000  0.0000 [1 per cell]  4 Ir 2.37, 2 Ta 2.45
Ta  0.0000  0.0000  0.5000 [1 per cell]  2 Zr 2.45
Mo  0.5000  0.5000  0.5000 [1 per cell]  4 Ta 3.36, 8 Ir 3.41
Ir  0.0000  0.5000  0.0000 [2 per cell]  2 Zr 2.37

# 19
Compound: Tl4In2SnHg2
Source: Alexandria
Functional: PBE
Structure: relaxed

## Properties
M_tot in μB per formula unit: 0.0
Formation energy in eV/atom: 0.06
Calculated density in g/cm³: 9.4
Final energy in eV for the cell shown: -18.992

a = 6.8025 Å, b = 7.2757 Å, c = 7.3634 Å
α = 117.39°, β = 113.99°, γ = 95.04°
Closest atoms and distances in Å follow each position.
Space group P-1 (No. 2)
Unique sites:
Tl  0.1200  0.2081  0.0015 [2 per cell]  1 Sn 3.11, 2 In 3.16-3.29, 2 Tl 3.30-3.47, 2 Hg 3.31-3.34
Tl  0.2187  0.7284  0.4558 [2 per cell]  1 Sn 3.07, 2 In 3.39-3.40, 2 Hg 3.39-3.42
In  0.3121  0.6209  0.0026 [2 per cell]  1 Sn 2.95, 2 Tl 3.16-3.29, 2 Hg 3.18-3.21, 1 In 3.23
Sn  0.5000  0.0000  0.0000 [1 per cell]  2 In 2.95, 4 Tl 3.07-3.11
Hg  0.2634  0.2536  0.5112 [2 per cell]  2 In 3.18-3.21, 4 Tl 3.31-3.42